1.
# Ce2AgBr8

Ce2AgBr8 after structural relaxation (PBE, the Alexandria database).

Results
Formation energy from raw total energies in meV per atom: -1332
Fermi-level density of states in states/eV/cell: 14.18

Lattice parameters (Å, degrees): 14.626 10.988 5.831 90.00 90.56 90.00
Space group C2/m (No. 12)
Symmetry-distinct sites (fractional):
Ce  0.223  0.000  0.244 [4 per cell]
Ag  0.000  0.000  0.000 [2 per cell]
Br  0.094  0.500  0.750 [4 per cell]
Br  0.099  0.188  0.222 [8 per cell]
Br  0.216  0.000  0.741 [4 per cell]

---

2.
# CeAg3Br7

CeAg3Br7 after structural relaxation (PBE, the Alexandria database).

Results
Formation energy from raw total energies in meV per atom: -877

Lattice parameters (Å, degrees): 13.992 7.966 9.195 90.00 129.04 90.00
Space group Cm (No. 8)
Symmetry-distinct sites (fractional):
Ce  0.000  0.000  0.000 [2 per cell]
Ag  0.073  0.235  0.592 [4 per cell]
Ag  0.496  0.000  0.898 [2 per cell]
Br  0.055  0.000  0.359 [2 per cell]
Br  0.171  0.253  0.127 [4 per cell]
Br  0.322  0.242  0.867 [4 per cell]
Br  0.445  0.500  0.649 [2 per cell]
Br  0.451  0.000  0.562 [2 per cell]

---

3.
# CeAg2Br8

CeAg2Br8 after structural relaxation (PBE, the Alexandria database).

Results
Formation energy from raw total energies in meV per atom: -825

Lattice parameters (Å, degrees): 11.432 11.731 7.000 90.00 113.01 90.00
Space group C2/m (No. 12)
Symmetry-distinct sites (fractional):
Ce  0.000  0.000  0.000 [2 per cell]
Ag  0.148  0.000  0.630 [4 per cell]
Br  0.070  0.500  0.178 [4 per cell]
Br  0.085  0.175  0.812 [8 per cell]
Br  0.242  0.000  0.340 [4 per cell]

---

4.
# Ce2AgBr

Ce2AgBr after structural relaxation (PBE, the Alexandria database).

Results
Formation energy from raw total energies in meV per atom: -480
Fermi-level density of states in states/eV/cell: 12.91

Lattice parameters (Å, degrees): 3.505 3.505 8.284 90.00 90.00 90.00
Space group P4/mmm (No. 123)
Symmetry-distinct sites (fractional):
Ce  0.000  0.000  0.245 [2 per cell]
Ag  0.500  0.500  0.000 [1 per cell]
Br  0.500  0.500  0.500 [1 per cell]

---

5.
# Ce2AgBr8

Ce2AgBr8 after structural relaxation (PBE, the Alexandria database).

Results
Formation energy from raw total energies in meV per atom: -1427
Fermi-level density of states in states/eV/cell: 20.93

Lattice parameters (Å, degrees): 20.624 4.112 8.694 90.00 92.50 90.00
Space group C2/m (No. 12)
Symmetry-distinct sites (fractional):
Ce  0.160  0.000  0.312 [4 per cell]
Ag  0.000  0.500  0.000 [2 per cell]
Br  0.020  0.000  0.211 [4 per cell]
Br  0.102  0.500  0.496 [4 per cell]
Br  0.153  0.500  0.062 [4 per cell]
Br  0.231  0.000  0.658 [4 per cell]

---

6.
# CeAgBr2

CeAgBr2 after structural relaxation (PBE, the Alexandria database).

Results
Formation energy from raw total energies in meV per atom: -488
Fermi-level density of states in states/eV/cell: 22.44

Lattice parameters (Å, degrees): 3.9963 3.9963 27.6400 90.00 90.00 120.00
Space group R-3m (No. 166, hexagonal axes)
Symmetry-distinct sites (fractional):
Ce  0.0000  0.0000  0.0000 [3 per cell]
Ag  0.0000  0.0000  0.5000 [3 per cell]
Br  0.0000  0.0000  0.1048 [6 per cell]

---

Question: Among the records above, which one has the highest formation energy from raw total energies?
Answer: Ce2AgBr